DFT (GGA-PBEsol) results for an optimized crystal structure of Ca2MgTl.

Values from the calculation:
Its crystal system is tetragonal. The value obtained for the volume is 30.5 Å³ per atom. The energy of formation is -0.187 eV per atom. For the spin magnetization, the calculation gives 0.00 Bohr magnetons per cell. The value obtained for the total energy is -9.36 eV/cell. Its offset from the most stable computed form is 138 meV/atom.

abc: 3.8533 3.8533 8.2140
angles: 90.00 90.00 90.00
Closest atoms and distances in Å follow each position.
Atoms (fractional coordinates):
Ca 0.0000 0.0000 0.0000  4 Tl 3.33, 1 Mg 3.40
Ca 0.5000 0.5000 0.3402  4 Mg 3.39, 1 Tl 3.50
Mg 0.0000 0.0000 0.5860  4 Tl 3.10, 5 Ca 3.39-3.40
Tl 0.5000 0.5000 0.7662  4 Mg 3.10, 4 Ca 3.33



DFT (GGA-PBEsol) results for an optimized crystal structure of Ca2MgTl.

Values from the calculation:
Its crystal system is cubic. The value obtained for the volume is 28.2 Å³ per atom. The energy of formation is -0.325 eV per atom. For the spin magnetization, the calculation gives 0.00 Bohr magnetons per cell. The value obtained for the total energy is -39.66 eV/cell. Its offset from the most stable computed form is 0 meV/atom.

abc: 7.6704 7.6704 7.6704
angles: 90.00 90.00 90.00
Closest atoms and distances in Å follow each position.
Atoms (fractional coordinates):
Ca 0.2500 0.2500 0.2500  4 Tl 3.32, 4 Mg 3.32
Ca 0.2500 0.2500 0.7500  4 Tl 3.32, 4 Mg 3.32
Ca 0.2500 0.7500 0.2500  4 Tl 3.32, 4 Mg 3.32
Ca 0.2500 0.7500 0.7500  4 Tl 3.32, 4 Mg 3.32
Ca 0.7500 0.2500 0.2500  4 Tl 3.32, 4 Mg 3.32
Ca 0.7500 0.2500 0.7500  4 Tl 3.32, 4 Mg 3.32
Ca 0.7500 0.7500 0.2500  4 Tl 3.32, 4 Mg 3.32
Ca 0.7500 0.7500 0.7500  4 Tl 3.32, 4 Mg 3.32
Mg 0.0000 0.0000 0.0000  8 Ca 3.32
Mg 0.0000 0.5000 0.5000  8 Ca 3.32
Mg 0.5000 0.0000 0.5000  8 Ca 3.32
Mg 0.5000 0.5000 0.0000  8 Ca 3.32
Tl 0.0000 0.0000 0.5000  8 Ca 3.32
Tl 0.0000 0.5000 0.0000  8 Ca 3.32
Tl 0.5000 0.0000 0.0000  8 Ca 3.32
Tl 0.5000 0.5000 0.5000  8 Ca 3.32



DFT (GGA-PBEsol) results for an optimized crystal structure of CaMgTl2.

Values from the calculation:
Its crystal system is cubic. The value obtained for the volume is 26.6 Å³ per atom. The energy of formation is -0.159 eV per atom. For the spin magnetization, the calculation gives 0.00 Bohr magnetons per cell. The value obtained for the total energy is -38.98 eV/cell. Its offset from the most stable computed form is 178 meV/atom.

abc: 7.5198 7.5198 7.5198
angles: 90.00 90.00 90.00
Closest atoms and distances in Å follow each position.
Atoms (fractional coordinates):
Ca 0.0000 0.0000 0.0000  4 Tl 3.26, 4 Mg 3.26
Ca 0.0000 0.5000 0.5000  4 Tl 3.26, 4 Mg 3.26
Ca 0.5000 0.0000 0.5000  4 Tl 3.26, 4 Mg 3.26
Ca 0.5000 0.5000 0.0000  4 Tl 3.26, 4 Mg 3.26
Mg 0.2500 0.2500 0.7500  4 Ca 3.26, 4 Tl 3.26
Mg 0.2500 0.7500 0.2500  4 Ca 3.26, 4 Tl 3.26
Mg 0.7500 0.2500 0.2500  4 Ca 3.26, 4 Tl 3.26
Mg 0.7500 0.7500 0.7500  4 Tl 3.26, 4 Ca 3.26
Tl 0.0000 0.0000 0.5000  4 Mg 3.26, 4 Tl 3.26
Tl 0.0000 0.5000 0.0000  4 Mg 3.26, 4 Tl 3.26
Tl 0.2500 0.2500 0.2500  4 Tl 3.26, 4 Ca 3.26
Tl 0.2500 0.7500 0.7500  4 Tl 3.26, 4 Ca 3.26
Tl 0.5000 0.0000 0.0000  4 Mg 3.26, 4 Tl 3.26
Tl 0.5000 0.5000 0.5000  4 Mg 3.26, 4 Tl 3.26
Tl 0.7500 0.2500 0.7500  4 Tl 3.26, 4 Ca 3.26
Tl 0.7500 0.7500 0.2500  4 Tl 3.26, 4 Ca 3.26



DFT (GGA-PBEsol) results for an optimized crystal structure of CaMgTl2.

Values from the calculation:
Its crystal system is monoclinic. The value obtained for the volume is 25.4 Å³ per atom. The energy of formation is -0.317 eV per atom. For the spin magnetization, the calculation gives 0.00 Bohr magnetons per cell. The value obtained for the total energy is -10.38 eV/cell. Its offset from the most stable computed form is 20 meV/atom.

abc: 3.6915 3.7012 7.4293
angles: 90.00 90.11 90.00
Closest atoms and distances in Å follow each position.
Atoms (fractional coordinates):
Ca 0.0000 0.0000 0.0000  8 Tl 3.31-3.32, 4 Ca 3.69-3.70
Mg 0.0000 0.0000 0.5000  8 Tl 3.10-3.11
Tl 0.4994 0.5000 0.2744  4 Mg 3.10-3.11, 4 Ca 3.31-3.32, 1 Tl 3.35
Tl 0.5006 0.5000 0.7256  4 Mg 3.10-3.11, 4 Ca 3.31-3.32, 1 Tl 3.35



DFT (GGA-PBEsol) results for an optimized crystal structure of CaMgTl2.

Values from the calculation:
Its crystal system is tetragonal. The value obtained for the volume is 25.7 Å³ per atom. The energy of formation is -0.305 eV per atom. For the spin magnetization, the calculation gives 0.00 Bohr magnetons per cell. The value obtained for the total energy is -10.33 eV/cell. Its offset from the most stable computed form is 32 meV/atom.

abc: 5.0727 5.0727 3.9957
angles: 90.00 90.00 90.00
Closest atoms and distances in Å follow each position.
Atoms (fractional coordinates):
Ca 0.0000 0.0000 0.0000  8 Tl 3.23, 4 Mg 3.59
Mg 0.5000 0.5000 0.0000  8 Tl 3.23, 4 Ca 3.59
Tl 0.0000 0.5000 0.5000  4 Mg 3.23, 4 Ca 3.23, 4 Tl 3.59
Tl 0.5000 0.0000 0.5000  4 Mg 3.23, 4 Ca 3.23, 4 Tl 3.59



DFT (GGA-PBEsol) results for an optimized crystal structure of CaMg2Tl2.

Values from the calculation:
Its crystal system is tetragonal. The value obtained for the volume is 25.8 Å³ per atom. The energy of formation is -0.178 eV per atom. For the spin magnetization, the calculation gives 0.00 Bohr magnetons per cell. The value obtained for the total energy is -23.44 eV/cell. Its offset from the most stable computed form is 42 meV/atom.

abc: 8.6107 8.6107 3.4856
angles: 90.00 90.00 90.00
Closest atoms and distances in Å follow each position.
Atoms (fractional coordinates):
Ca 0.0000 0.0000 0.0000  4 Tl 3.26, 2 Ca 3.49
Ca 0.5000 0.5000 0.0000  4 Tl 3.26, 2 Ca 3.49
Mg 0.1418 0.3582 0.5000  6 Tl 3.03-3.09
Mg 0.3582 0.8582 0.5000  6 Tl 3.03-3.09
Mg 0.6418 0.1418 0.5000  6 Tl 3.03-3.09
Mg 0.8582 0.6418 0.5000  6 Tl 3.03-3.09
Tl 0.1547 0.6547 0.0000  6 Mg 3.03-3.09, 2 Ca 3.26
Tl 0.3453 0.1547 0.0000  6 Mg 3.03-3.09, 2 Ca 3.26
Tl 0.6547 0.8453 0.0000  6 Mg 3.03-3.09, 2 Ca 3.26
Tl 0.8453 0.3453 0.0000  6 Mg 3.03-3.09, 2 Ca 3.26



DFT (GGA-PBEsol) results for an optimized crystal structure of CaMg2Tl2.

Values from the calculation:
Its crystal system is tetragonal. The value obtained for the volume is 26.4 Å³ per atom. The energy of formation is -0.220 eV per atom. For the spin magnetization, the calculation gives 0.00 Bohr magnetons per cell. The value obtained for the total energy is -23.86 eV/cell. Its offset from the most stable computed form is 0 meV/atom.

abc: 4.4890 4.4890 13.0985
angles: 90.00 90.00 90.00
Closest atoms and distances in Å follow each position.
Atoms (fractional coordinates):
Ca 0.0000 0.0000 0.0000  8 Tl 3.48
Ca 0.5000 0.5000 0.5000  8 Tl 3.48
Mg 0.0000 0.5000 0.2500  4 Tl 2.90, 4 Mg 3.17
Mg 0.0000 0.5000 0.7500  4 Tl 2.90, 4 Mg 3.17
Mg 0.5000 0.0000 0.2500  4 Tl 2.90, 4 Mg 3.17
Mg 0.5000 0.0000 0.7500  4 Tl 2.90, 4 Mg 3.17
Tl 0.0000 0.0000 0.3904  1 Tl 2.87, 4 Mg 2.90
Tl 0.0000 0.0000 0.6096  1 Tl 2.87, 4 Mg 2.90
Tl 0.5000 0.5000 0.1096  1 Tl 2.87, 4 Mg 2.90
Tl 0.5000 0.5000 0.8904  1 Tl 2.87, 4 Mg 2.90



DFT (GGA-PBEsol) results for an optimized crystal structure of CaMgTl2.

Values from the calculation:
Its crystal system is orthorhombic. The value obtained for the volume is 26.4 Å³ per atom. The energy of formation is -0.238 eV per atom. For the spin magnetization, the calculation gives 0.00 Bohr magnetons per cell. The value obtained for the total energy is -20.13 eV/cell. Its offset from the most stable computed form is 99 meV/atom.

abc: 4.2929 4.8329 10.1727
angles: 90.00 90.00 90.00
Closest atoms and distances in Å follow each position.
Atoms (fractional coordinates):
Ca 0.0000 0.0000 0.0000  8 Tl 3.23-3.48, 4 Mg 3.39-3.45
Ca 0.5000 0.5000 0.5000  8 Tl 3.23-3.48, 4 Mg 3.39-3.45
Mg 0.0000 0.5000 0.2421  8 Tl 3.23-3.59, 4 Ca 3.39-3.45
Mg 0.5000 0.0000 0.7421  8 Tl 3.23-3.59, 4 Ca 3.39-3.45
Tl 0.0000 0.0000 0.5032  4 Ca 3.23, 4 Mg 3.24-3.59, 4 Tl 3.32-3.51
Tl 0.0000 0.5000 0.7536  4 Mg 3.23, 4 Tl 3.32-3.51, 4 Ca 3.36-3.48
Tl 0.5000 0.0000 0.2536  4 Mg 3.23, 4 Tl 3.32-3.51, 4 Ca 3.36-3.48
Tl 0.5000 0.5000 0.0032  4 Ca 3.23, 4 Mg 3.24-3.59, 4 Tl 3.32-3.51



DFT (GGA-PBEsol) results for an optimized crystal structure of CaMgTl2.

Values from the calculation:
Its crystal system is monoclinic. The value obtained for the volume is 26.8 Å³ per atom. The energy of formation is -0.223 eV per atom. For the spin magnetization, the calculation gives 0.00 Bohr magnetons per cell. The value obtained for the total energy is -20.00 eV/cell. Its offset from the most stable computed form is 114 meV/atom.

abc: 9.5894 3.5733 6.3851
angles: 90.00 101.16 90.00
Closest atoms and distances in Å follow each position.
Atoms (fractional coordinates):
Ca 0.0000 0.0000 0.0000  6 Tl 3.19-3.26
Ca 0.5000 0.5000 0.0000  6 Tl 3.19-3.26
Mg 0.0000 0.5000 0.5000  6 Tl 3.07
Mg 0.5000 0.0000 0.5000  6 Tl 3.07
Tl 0.2438 0.0000 0.7241  3 Mg 3.07, 3 Ca 3.19-3.26, 2 Tl 3.39
Tl 0.2562 0.5000 0.2759  3 Mg 3.07, 3 Ca 3.19-3.26, 2 Tl 3.39
Tl 0.7438 0.5000 0.7241  3 Mg 3.07, 3 Ca 3.19-3.26, 2 Tl 3.39
Tl 0.7562 0.0000 0.2759  3 Mg 3.07, 3 Ca 3.19-3.26, 2 Tl 3.39



DFT (GGA-PBEsol) results for an optimized crystal structure of CaMg2W.

Values from the calculation:
Its crystal system is tetragonal. The value obtained for the volume is 20.8 Å³ per atom. The energy of formation is 0.475 eV per atom. For the spin magnetization, the calculation gives 0.00 Bohr magnetons per cell. The value obtained for the total energy is -17.48 eV/cell. Its offset from the most stable computed form is 0 meV/atom.

abc: 2.8905 2.8905 9.9780
angles: 90.00 90.00 90.00
Closest atoms and distances in Å follow each position.
Atoms (fractional coordinates):
Ca 0.0000 0.0000 0.0000  4 Ca 2.89, 4 W 3.19
Mg 0.0000 0.0000 0.5406  4 Mg 2.89, 4 W 2.96
Mg 0.5000 0.5000 0.2854  4 Mg 2.89
W 0.5000 0.5000 0.7549  4 W 2.89, 4 Mg 2.96, 4 Ca 3.19